Computed, not measured: a relaxed structure of SbIr3Br at the PBE-GGA level of DFT.

Unit cell a=4.6873 b=4.6873 c=4.6873 alpha=90.00 beta=90.00 gamma=90.00
Atoms (fractional coordinates):
1 Ir 0.0000 0.0000 0.5000
2 Ir 0.0000 0.5000 0.0000
3 Ir 0.5000 0.0000 0.0000
4 Br 0.0000 0.0000 0.0000
5 Sb 0.5000 0.5000 0.5000

Results
Relative energy among the computed polymorphs, meV/atom: 0.0
Uncorrected energy, Ry/atom: -0.35110
ΔE_f (raw), eV/f.u.: 8.49
Theoretical density, g/cm³: 12.55
V, Å³ per cell: 103